1.
# PmSm6Cd2

PmSm6Cd2 after structural relaxation (PBE-GGA, the Alexandria database).

ΔE_f   0.0219 eV per atom
Theoretical density   7.5 Mg/m³

```
data_PmSm6Cd2
_chemical_formula_sum 'Pm2 Sm12 Cd4'
_cell_length_a 5.4030
_cell_length_b 10.4652
_cell_length_c 10.4652
_cell_angle_alpha 71.65
_cell_angle_beta 88.38
_cell_angle_gamma 88.38
_space_group_name_H-M_alt 'P 1'
_space_group_IT_number 1
_space_group_name_Hall 'P 1'
loop_
_atom_site_label
_atom_site_type_symbol
_atom_site_fract_x
_atom_site_fract_y
_atom_site_fract_z
_atom_site_occupancy
Pm1 Pm 0.2500 0.2198 0.7802 1
Pm2 Pm 0.7500 0.7802 0.2198 1
Sm1 Sm 0.2547 0.7303 0.4645 1
Sm2 Sm 0.2453 0.5355 0.2697 1
Sm3 Sm 0.7453 0.2697 0.5355 1
Sm4 Sm 0.7547 0.4645 0.7303 1
Sm5 Sm 0.7515 0.0438 0.3721 1
Sm6 Sm 0.7485 0.6279 0.9562 1
Sm7 Sm 0.2485 0.9562 0.6279 1
Sm8 Sm 0.2515 0.3721 0.0438 1
Sm9 Sm 0.2464 0.8250 0.9838 1
Sm10 Sm 0.2536 0.0162 0.1750 1
Sm11 Sm 0.7536 0.1750 0.0162 1
Sm12 Sm 0.7464 0.9838 0.8250 1
Cd1 Cd 0.2513 0.6271 0.7820 1
Cd2 Cd 0.2487 0.2180 0.3729 1
Cd3 Cd 0.7487 0.3729 0.2180 1
Cd4 Cd 0.7513 0.7820 0.6271 1
```

---

2.
# BiRh2Pb2

BiRh2Pb2 after structural relaxation (PBE-GGA, the Alexandria database).

ΔE_f   -0.0456 eV per atom
Theoretical density   11.7 Mg/m³

```
data_BiRh2Pb2
_chemical_formula_sum 'Bi2 Rh4 Pb4'
_cell_length_a 4.2140
_cell_length_b 5.5035
_cell_length_c 10.7291
_cell_angle_alpha 108.36
_cell_angle_beta 90.00
_cell_angle_gamma 90.00
_space_group_name_H-M_alt 'P 1'
_space_group_IT_number 1
_space_group_name_Hall 'P 1'
loop_
_atom_site_label
_atom_site_type_symbol
_atom_site_fract_x
_atom_site_fract_y
_atom_site_fract_z
_atom_site_occupancy
Bi1 Bi 0.7500 0.2077 0.6218 1
Bi2 Bi 0.2500 0.7923 0.3782 1
Rh1 Rh 0.2500 0.3300 0.4837 1
Rh2 Rh 0.7500 0.6532 0.2026 1
Rh3 Rh 0.2500 0.3468 0.7974 1
Rh4 Rh 0.7500 0.6700 0.5163 1
Pb1 Pb 0.7500 0.2424 0.9614 1
Pb2 Pb 0.2500 0.7889 0.7205 1
Pb3 Pb 0.2500 0.7576 0.0386 1
Pb4 Pb 0.7500 0.2111 0.2795 1
```

---

3.
# BeOsBr2

BeOsBr2 after structural relaxation (PBE-GGA, the Alexandria database).

E_form (uncorrected)   181.7 meV/atom
Theoretical density   6.5 Mg/m³

```
data_BeOsBr2
_chemical_formula_sum 'Be1 Os1 Br2'
_cell_length_a 9.1573
_cell_length_b 9.1573
_cell_length_c 3.2507
_cell_angle_alpha 106.43
_cell_angle_beta 106.43
_cell_angle_gamma 20.46
_space_group_name_H-M_alt 'P 1'
_space_group_IT_number 1
_space_group_name_Hall 'P 1'
loop_
_atom_site_label
_atom_site_type_symbol
_atom_site_fract_x
_atom_site_fract_y
_atom_site_fract_z
_atom_site_occupancy
Be1 Be 0.7500 0.7500 0.7500 1
Os1 Os 0.2500 0.2500 0.2500 1
Br1 Br 0.1109 0.1109 0.0282 1
Br2 Br 0.3891 0.3891 0.4718 1
```

---

4.
# Ac2Nd3Tm4

Ac2Nd3Tm4 after structural relaxation (PBE-GGA, the Alexandria database).

ΔE_f   0.1270 eV per atom
Theoretical density   7.9 Mg/m³

```
data_Ac2Nd3Tm4
_chemical_formula_sum 'Ac4 Nd6 Tm8'
_cell_length_a 5.6901
_cell_length_b 7.2693
_cell_length_c 15.8492
_cell_angle_alpha 90.00
_cell_angle_beta 90.00
_cell_angle_gamma 90.00
_space_group_name_H-M_alt 'P 1'
_space_group_IT_number 1
_space_group_name_Hall 'P 1'
loop_
_atom_site_label
_atom_site_type_symbol
_atom_site_fract_x
_atom_site_fract_y
_atom_site_fract_z
_atom_site_occupancy
Ac1 Ac 0.0000 0.8364 0.4045 1
Ac2 Ac 0.5000 0.3364 0.0955 1
Ac3 Ac 0.0000 0.1636 0.5955 1
Ac4 Ac 0.5000 0.6636 0.9045 1
Nd1 Nd 0.0000 0.3923 0.8285 1
Nd2 Nd 0.5000 0.8923 0.6715 1
Nd3 Nd 0.0000 0.6077 0.1715 1
Nd4 Nd 0.5000 0.1077 0.3285 1
Nd5 Nd 0.0000 0.0000 0.0000 1
Nd6 Nd 0.5000 0.5000 0.5000 1
Tm1 Tm 0.5000 0.1337 0.8766 1
Tm2 Tm 0.5000 0.8663 0.1234 1
Tm3 Tm 0.0000 0.0935 0.2064 1
Tm4 Tm 0.0000 0.3663 0.3766 1
Tm5 Tm 0.5000 0.5935 0.2936 1
Tm6 Tm 0.0000 0.9065 0.7936 1
Tm7 Tm 0.0000 0.6337 0.6234 1
Tm8 Tm 0.5000 0.4065 0.7064 1
```